A relaxed BeSnTeW crystal. Source: OQMD via LeMat-Bulk, functional PBE-GGA.

```
BeSnTeW
1.0
-2.2175 1.4855 3.8944
-2.4992 4.0046 -0.0888
-4.7129 -0.1529 0.2366
W Sn Te Be
1 1 1 1
Direct
0.2500 0.2500 0.2500
0.0000 0.0000 0.0000
0.5000 0.5000 0.5000
0.7500 0.7500 0.7500
```

Summary:
- Energy: -5.05 eV/atom
- Crystal system: cubic
- Space group: F-43m
- ρ: 9.80 g/cm³
- Relative energy among the computed polymorphs: 0.0 meV per atom